A plane-wave DFT calculation with PBE was carried out for a geometry-optimized PmYCdHg structure.

Cell and atoms, written as POSCAR:
```
PmYCdHg
1.0
3.754 0.000 0.000
0.000 3.754 0.000
0.000 0.000 7.672
Pm Cd Y Hg
1 1 1 1
Cartesian
1.877 1.877 0.833 Pm
0.000 0.000 6.483 Cd
1.877 1.877 4.630 Y
0.000 0.000 2.846 Hg
```

Calculated values
Energy of formation in eV/atom: -0.4106
Symmetry: P4mm, No. 99
Excess energy over the best structure of this formula in the dataset in meV/atom: 0
Magnetization in μB/atom: 0.144
ρ in g/cm3: 8.399